A plane-wave DFT calculation with PBE was carried out for crystalline TaAlTcW at its relaxed geometry.

Size of the total moment (Bohr magnetons per cell): 0.20
Density of states at the Fermi level (states/eV/atom): 1.700
Formation energy from the elements (meV/atom): -23
E_tot (eV for the cell shown): -39.01

Unit cell a=4.482 b=4.482 c=4.482 alpha=60.00 beta=60.00 gamma=60.00
Atoms (fractional coordinates):
1 W 0.000 0.000 0.000
2 Al 0.500 0.500 0.500
3 Tc 0.250 0.250 0.250
4 Ta 0.750 0.750 0.750